1.
# PBE Ac8Ge3N4, optimized geometry
# E: -5.91 eV/atom
# E_form (uncorrected): -0.574 eV per atom
# SG: C2/m (12)
# V: 430.17 Å³/cell
data_Ac8Ge3N4
_cell_length_a 8.3377
_cell_length_b 8.4279
_cell_length_c 8.4279
_cell_angle_alpha 90.04
_cell_angle_beta 119.07
_cell_angle_gamma 119.07
_symmetry_space_group_name_H-M 'P 1'
_symmetry_Int_Tables_number 1
_symmetry_space_group_name_Hall 'P 1'
loop_
_atom_site_label
_atom_site_type_symbol
_atom_site_fract_x
_atom_site_fract_y
_atom_site_fract_z
N1 N 0.0000 0.5000 0.0000
N2 N 0.0000 0.0000 0.5000
N3 N 0.5000 0.0000 0.0000
N4 N 0.0000 0.0000 0.0000
Ac1 Ac 0.5000 0.2373 0.7627
Ac2 Ac 0.5418 0.7892 0.7892
Ac3 Ac 0.0000 0.2432 0.7568
Ac4 Ac 0.0000 0.7568 0.2432
Ac5 Ac 0.4582 0.2108 0.2108
Ac6 Ac 0.9813 0.2245 0.2245
Ac7 Ac 0.5000 0.7627 0.2373
Ac8 Ac 0.0187 0.7755 0.7755
Ge1 Ge 0.5000 0.0000 0.5000
Ge2 Ge 0.5000 0.5000 0.0000
Ge3 Ge 0.5000 0.5000 0.5000


2.
# PBE Na4CuRh3S8, optimized geometry
# E: -4.68 eV/atom
# E_form (uncorrected): -0.650 eV per atom
# SG: R-3m (166)
# V: 290.04 Å³/cell
data_Na4CuRh3S8
_cell_length_a 7.2810
_cell_length_b 7.5900
_cell_length_c 7.2806
_cell_angle_alpha 118.68
_cell_angle_beta 120.00
_cell_angle_gamma 90.00
_symmetry_space_group_name_H-M 'P 1'
_symmetry_Int_Tables_number 1
_symmetry_space_group_name_Hall 'P 1'
loop_
_atom_site_label
_atom_site_type_symbol
_atom_site_fract_x
_atom_site_fract_y
_atom_site_fract_z
S1 S 0.2329 0.6901 0.9574
S2 S 0.7245 0.6901 0.9574
S3 S 0.7293 0.6876 0.4585
S4 S 0.2707 0.3124 0.5415
S5 S 0.7673 0.3101 0.5347
S6 S 0.7671 0.3099 0.0426
S7 S 0.2755 0.3099 0.0426
S8 S 0.2327 0.6899 0.4653
Na1 Na 0.5000 0.0000 0.0000
Na2 Na 0.5000 0.0000 0.5000
Na3 Na 0.0000 0.0000 0.5000
Na4 Na 0.0000 0.0000 0.0000
Rh1 Rh 0.0000 0.5000 0.5000
Rh2 Rh 0.5000 0.5000 0.5000
Rh3 Rh 0.5000 0.5000 0.0000
Cu1 Cu 0.0000 0.5000 0.0000


3.
# PBE NbCo3Pd, optimized geometry
# ΔH_f (0 K): 1.469 eV/atom
# E: -5.85 eV/atom
# SG: Pm-3m (221)
# Energy relative to the lowest polymorph listed for this composition: 98 meV per atom
# V: 89.09 Å³/cell
data_NbCo3Pd
_cell_length_a 4.4663
_cell_length_b 4.4663
_cell_length_c 4.4663
_cell_angle_alpha 90.00
_cell_angle_beta 90.00
_cell_angle_gamma 90.00
_symmetry_space_group_name_H-M 'P 1'
_symmetry_Int_Tables_number 1
_symmetry_space_group_name_Hall 'P 1'
loop_
_atom_site_label
_atom_site_type_symbol
_atom_site_fract_x
_atom_site_fract_y
_atom_site_fract_z
Nb1 Nb 0.5000 0.5000 0.5000
Co1 Co 0.0000 0.0000 0.5000
Co2 Co 0.5000 0.0000 0.0000
Co3 Co 0.0000 0.5000 0.0000
Pd1 Pd 0.0000 0.0000 0.0000


4.
# PBE YZrBe3, optimized geometry
# ΔH_f (0 K): 1.514 eV/atom
# E: -3.72 eV/atom
# SG: Pm-3m (221)
# Energy relative to the lowest polymorph listed for this composition: 562 meV per atom
# V: 94.62 Å³/cell
data_YZrBe3
_cell_length_a 4.5568
_cell_length_b 4.5568
_cell_length_c 4.5568
_cell_angle_alpha 90.00
_cell_angle_beta 90.00
_cell_angle_gamma 90.00
_symmetry_space_group_name_H-M 'P 1'
_symmetry_Int_Tables_number 1
_symmetry_space_group_name_Hall 'P 1'
loop_
_atom_site_label
_atom_site_type_symbol
_atom_site_fract_x
_atom_site_fract_y
_atom_site_fract_z
Be1 Be 0.5000 0.0000 0.0000
Be2 Be 0.0000 0.0000 0.5000
Be3 Be 0.0000 0.5000 0.0000
Y1 Y 0.0000 0.0000 0.0000
Zr1 Zr 0.5000 0.5000 0.5000


5.
# PBE TlHg3Pd, optimized geometry
# ΔH_f (0 K): -0.006 eV/atom
# E: -1.70 eV/atom
# SG: Pm-3m (221)
# Energy relative to the lowest polymorph listed for this composition: 35 meV per atom
# V: 149.40 Å³/cell
data_TlHg3Pd
_cell_length_a 5.3062
_cell_length_b 5.3062
_cell_length_c 5.3062
_cell_angle_alpha 90.00
_cell_angle_beta 90.00
_cell_angle_gamma 90.00
_symmetry_space_group_name_H-M 'P 1'
_symmetry_Int_Tables_number 1
_symmetry_space_group_name_Hall 'P 1'
loop_
_atom_site_label
_atom_site_type_symbol
_atom_site_fract_x
_atom_site_fract_y
_atom_site_fract_z
Hg1 Hg 0.0000 0.5000 0.0000
Hg2 Hg 0.5000 0.0000 0.0000
Hg3 Hg 0.0000 0.0000 0.5000
Tl1 Tl 0.5000 0.5000 0.5000
Pd1 Pd 0.0000 0.0000 0.0000


6.
# PBE RbNa2TmCl6, optimized geometry
# E: -3.96 eV/atom
# E_form (uncorrected): -2.042 eV per atom
# SG: R3 (146)
# V: 299.13 Å³/cell
data_RbNa2TmCl6
_cell_length_a 7.2354
_cell_length_b 7.2375
_cell_length_c 7.8092
_cell_angle_alpha 62.40
_cell_angle_beta 62.40
_cell_angle_gamma 59.97
_symmetry_space_group_name_H-M 'P 1'
_symmetry_Int_Tables_number 1
_symmetry_space_group_name_Hall 'P 1'
loop_
_atom_site_label
_atom_site_type_symbol
_atom_site_fract_x
_atom_site_fract_y
_atom_site_fract_z
Cl1 Cl 0.9482 0.5701 0.2287
Cl2 Cl 0.2528 0.9484 0.2287
Cl3 Cl 0.7147 0.1683 0.7663
Cl4 Cl 0.1686 0.3509 0.7660
Cl5 Cl 0.5700 0.2529 0.2288
Cl6 Cl 0.3508 0.7143 0.7663
Na1 Na 0.5215 0.5214 0.4354
Na2 Na 0.0061 0.0059 0.9830
Rb1 Rb 0.8035 0.8039 0.5886
Tm1 Tm 0.3254 0.3254 0.0236


7.
# PBE AcCuSbO, optimized geometry
# E: -5.63 eV/atom
# E_form (uncorrected): -1.311 eV per atom
# SG: I4mm (107)
# V: 83.33 Å³/cell
data_AcCuSbO
_cell_length_a 3.6061
_cell_length_b 3.6061
_cell_length_c 6.8969
_cell_angle_alpha 105.15
_cell_angle_beta 105.15
_cell_angle_gamma 90.00
_symmetry_space_group_name_H-M 'P 1'
_symmetry_Int_Tables_number 1
_symmetry_space_group_name_Hall 'P 1'
loop_
_atom_site_label
_atom_site_type_symbol
_atom_site_fract_x
_atom_site_fract_y
_atom_site_fract_z
Ac1 Ac 0.8819 0.8819 0.7637
Sb1 Sb 0.6042 0.6042 0.2085
Cu1 Cu 0.1829 0.1829 0.3658
O1 O 0.3431 0.3431 0.6862


8.
# PBE Y4HgAuO, optimized geometry
# E: -6.12 eV/atom
# E_form (uncorrected): -1.208 eV per atom
# SG: Cmcm (63)
# V: 333.51 Å³/cell
data_Y4HgAuO
_cell_length_a 6.6573
_cell_length_b 6.6522
_cell_length_c 8.2338
_cell_angle_alpha 90.00
_cell_angle_beta 113.85
_cell_angle_gamma 90.00
_symmetry_space_group_name_H-M 'P 1'
_symmetry_Int_Tables_number 1
_symmetry_space_group_name_Hall 'P 1'
loop_
_atom_site_label
_atom_site_type_symbol
_atom_site_fract_x
_atom_site_fract_y
_atom_site_fract_z
Au1 Au 0.1219 0.2500 0.2438
Au2 Au 0.8781 0.7500 0.7562
Hg1 Hg 0.3823 0.2500 0.7645
Hg2 Hg 0.6177 0.7500 0.2355
Y1 Y 0.0000 0.0000 0.5000
Y2 Y 0.5000 0.5000 0.5000
Y3 Y 0.0000 0.5000 0.5000
Y4 Y 0.5000 0.0000 0.5000
Y5 Y 0.4245 0.7500 0.8490
Y6 Y 0.0652 0.7500 0.1304
Y7 Y 0.5755 0.2500 0.1510
Y8 Y 0.9348 0.2500 0.8696
O1 O 0.7454 0.2500 0.4909
O2 O 0.2546 0.7500 0.5091


9.
# PBE Ba8HRh3I4, optimized geometry
# E: -3.76 eV/atom
# SG: R-3m (166)
# V: 621.18 Å³/cell
data_Ba8HRh3I4
_cell_length_a 9.1364
_cell_length_b 10.0821
_cell_length_c 9.1382
_cell_angle_alpha 116.96
_cell_angle_beta 119.99
_cell_angle_gamma 90.00
_symmetry_space_group_name_H-M 'P 1'
_symmetry_Int_Tables_number 1
_symmetry_space_group_name_Hall 'P 1'
loop_
_atom_site_label
_atom_site_type_symbol
_atom_site_fract_x
_atom_site_fract_y
_atom_site_fract_z
Rh1 Rh 0.0000 0.5000 0.5000
Rh2 Rh 0.5000 0.5000 0.0000
Rh3 Rh 0.5000 0.5000 0.5000
Ba1 Ba 0.7643 0.3046 0.0402
Ba2 Ba 0.2357 0.6954 0.9598
Ba3 Ba 0.7640 0.3044 0.5280
Ba4 Ba 0.2759 0.3046 0.0402
Ba5 Ba 0.7241 0.6954 0.9598
Ba6 Ba 0.2655 0.2966 0.5310
Ba7 Ba 0.7345 0.7034 0.4690
Ba8 Ba 0.2360 0.6956 0.4720
H1 H 0.0000 0.5000 0.0000
I1 I 0.0000 0.0000 0.5000
I2 I 0.5000 0.0000 0.0000
I3 I 0.5000 0.0000 0.5000
I4 I 0.0000 0.0000 0.0000


10.
# PBE Zr2TeCl, optimized geometry
# E: -6.38 eV/atom
# E_form (uncorrected): -0.862 eV per atom
# SG: R3m (160)
# Energy relative to the lowest polymorph listed for this composition: 0 meV per atom
# V: 109.88 Å³/cell
data_Zr2TeCl
_cell_length_a 10.7669
_cell_length_b 10.7669
_cell_length_c 10.7669
_cell_angle_alpha 18.51
_cell_angle_beta 18.51
_cell_angle_gamma 18.51
_symmetry_space_group_name_H-M 'P 1'
_symmetry_Int_Tables_number 1
_symmetry_space_group_name_Hall 'P 1'
loop_
_atom_site_label
_atom_site_type_symbol
_atom_site_fract_x
_atom_site_fract_y
_atom_site_fract_z
Zr1 Zr 0.2499 0.2499 0.2499
Zr2 Zr 0.9926 0.9926 0.9926
Cl1 Cl 0.5281 0.5281 0.5281
Te1 Te 0.7294 0.7294 0.7294


11.
# PBE InCu5Au4, optimized geometry
# ΔH_f (0 K): 0.057 eV/atom
# E: -3.58 eV/atom
# SG: C2/m (12)
# V: 164.96 Å³/cell
data_InCu5Au4
_cell_length_a 3.5904
_cell_length_b 10.9415
_cell_length_c 7.5407
_cell_angle_alpha 142.73
_cell_angle_beta 103.77
_cell_angle_gamma 90.00
_symmetry_space_group_name_H-M 'P 1'
_symmetry_Int_Tables_number 1
_symmetry_space_group_name_Hall 'P 1'
loop_
_atom_site_label
_atom_site_type_symbol
_atom_site_fract_x
_atom_site_fract_y
_atom_site_fract_z
Au1 Au 0.3820 0.6279 0.7640
Au2 Au 0.1218 0.7987 0.2436
Au3 Au 0.8782 0.2013 0.7564
Au4 Au 0.6180 0.3721 0.2360
Cu1 Cu 0.8007 0.8836 0.6014
Cu2 Cu 0.5000 0.5000 0.0000
Cu3 Cu 0.8119 0.3795 0.6239
Cu4 Cu 0.1993 0.1164 0.3986
Cu5 Cu 0.1881 0.6205 0.3761
In1 In 0.5000 0.0000 0.0000


12.
# PBE SrMn2Re, optimized geometry
# ΔH_f (0 K): 1.159 eV/atom
# E: -6.96 eV/atom
# SG: I-4m2 (119)
# Energy relative to the lowest polymorph listed for this composition: 604 meV per atom
# V: 75.51 Å³/cell
data_SrMn2Re
_cell_length_a 5.4170
_cell_length_b 5.4170
_cell_length_c 5.4170
_cell_angle_alpha 136.06
_cell_angle_beta 136.06
_cell_angle_gamma 63.89
_symmetry_space_group_name_H-M 'P 1'
_symmetry_Int_Tables_number 1
_symmetry_space_group_name_Hall 'P 1'
loop_
_atom_site_label
_atom_site_type_symbol
_atom_site_fract_x
_atom_site_fract_y
_atom_site_fract_z
Mn1 Mn 0.0000 0.0000 0.0000
Mn2 Mn 0.2500 0.7500 0.5000
Sr1 Sr 0.7500 0.2500 0.5000
Re1 Re 0.5000 0.5000 0.0000


Question: Which formula does entry 5 have?
Answer: TlHg3Pd


Question: Among the records above, which one has the highest E?
Answer: TlHg3Pd


Please write out number 8 again, unchanged.
# PBE Y4HgAuO, optimized geometry
# E: -6.12 eV/atom
# E_form (uncorrected): -1.208 eV per atom
# SG: Cmcm (63)
# V: 333.51 Å³/cell
data_Y4HgAuO
_cell_length_a 6.6573
_cell_length_b 6.6522
_cell_length_c 8.2338
_cell_angle_alpha 90.00
_cell_angle_beta 113.85
_cell_angle_gamma 90.00
_symmetry_space_group_name_H-M 'P 1'
_symmetry_Int_Tables_number 1
_symmetry_space_group_name_Hall 'P 1'
loop_
_atom_site_label
_atom_site_type_symbol
_atom_site_fract_x
_atom_site_fract_y
_atom_site_fract_z
Au1 Au 0.1219 0.2500 0.2438
Au2 Au 0.8781 0.7500 0.7562
Hg1 Hg 0.3823 0.2500 0.7645
Hg2 Hg 0.6177 0.7500 0.2355
Y1 Y 0.0000 0.0000 0.5000
Y2 Y 0.5000 0.5000 0.5000
Y3 Y 0.0000 0.5000 0.5000
Y4 Y 0.5000 0.0000 0.5000
Y5 Y 0.4245 0.7500 0.8490
Y6 Y 0.0652 0.7500 0.1304
Y7 Y 0.5755 0.2500 0.1510
Y8 Y 0.9348 0.2500 0.8696
O1 O 0.7454 0.2500 0.4909
O2 O 0.2546 0.7500 0.5091


Question: Number 2 is which compound?
Answer: Na4CuRh3S8